# 1
Computed, not measured: an optimized crystal structure of Sr5Li3I12 at the PBE level of DFT.

```
Sr5Li3I12
1.0
-9.8907 9.8907 9.8907
9.8907 -9.8907 9.8907
9.8907 9.8907 -9.8907
Sr Li I
20 12 48
Direct
0.0000 0.0000 0.0000
0.0000 0.0000 0.5000
0.0000 0.5000 0.0000
0.0000 0.5000 0.5000
0.1250 0.7500 0.8750
0.1250 0.8750 0.2500
0.2500 0.1250 0.8750
0.2500 0.6250 0.3750
0.3750 0.2500 0.6250
0.3750 0.6250 0.7500
0.5000 0.0000 0.0000
0.5000 0.0000 0.5000
0.5000 0.5000 0.0000
0.5000 0.5000 0.5000
0.6250 0.3750 0.2500
0.6250 0.7500 0.3750
0.7500 0.3750 0.6250
0.7500 0.8750 0.1250
0.8750 0.1250 0.7500
0.8750 0.2500 0.1250
0.1250 0.2500 0.3750
0.1250 0.3750 0.7500
0.2500 0.3750 0.1250
0.2500 0.8750 0.6250
0.3750 0.1250 0.2500
0.3750 0.7500 0.1250
0.6250 0.2500 0.8750
0.6250 0.8750 0.7500
0.7500 0.1250 0.3750
0.7500 0.6250 0.8750
0.8750 0.6250 0.2500
0.8750 0.7500 0.6250
0.0482 0.2227 0.1215
0.0482 0.3255 0.9267
0.0733 0.6215 0.3988
0.0733 0.9518 0.6745
0.1012 0.7227 0.6745
0.1012 0.8785 0.4267
0.1215 0.0482 0.2227
0.1215 0.5733 0.8988
0.1745 0.2227 0.6012
0.1745 0.4518 0.5733
0.2227 0.1215 0.0482
0.2227 0.6012 0.1745
0.2773 0.3255 0.8988
0.2773 0.4518 0.3785
0.3255 0.8988 0.2773
0.3255 0.9267 0.0482
0.3785 0.2773 0.4518
0.3785 0.6012 0.9267
0.3988 0.0733 0.6215
0.3988 0.8255 0.7773
0.4267 0.1012 0.8785
0.4267 0.8255 0.5482
0.4518 0.3785 0.2773
0.4518 0.5733 0.1745
0.5482 0.4267 0.8255
0.5482 0.6215 0.7227
0.5733 0.1745 0.4518
0.5733 0.8988 0.1215
0.6012 0.1745 0.2227
0.6012 0.9267 0.3785
0.6215 0.3988 0.0733
0.6215 0.7227 0.5482
0.6745 0.0733 0.9518
0.6745 0.1012 0.7227
0.7227 0.5482 0.6215
0.7227 0.6745 0.1012
0.7773 0.3988 0.8255
0.7773 0.8785 0.9518
0.8255 0.5482 0.4267
0.8255 0.7773 0.3988
0.8785 0.4267 0.1012
0.8785 0.9518 0.7773
0.8988 0.1215 0.5733
0.8988 0.2773 0.3255
0.9267 0.0482 0.3255
0.9267 0.3785 0.6012
0.9518 0.6745 0.0733
0.9518 0.7773 0.8785
```

The value obtained for the uncorrected formation energy is -1.288 eV per atom. Its crystal system is cubic. As for the total magnetization: 0.000 Bohr magnetons per cell. The value obtained for the total energy is -2.9259 eV/atom.

# 2
Computed, not measured: an optimized crystal structure of SrLiI2 at the PBE level of DFT.

```
SrLiI2
1.0
-3.6270 3.6270 6.5719
3.6270 -3.6270 6.5719
3.6270 3.6270 -6.5719
Sr Li I
2 2 4
Direct
0.0000 0.0000 0.0000
0.7500 0.2500 0.5000
0.2500 0.7500 0.5000
0.5000 0.5000 0.0000
0.1900 0.6250 0.0650
0.3750 0.4400 0.5650
0.5600 0.1250 0.9350
0.8750 0.8100 0.4350
```

The calculation puts the energy above the most stable polymorph in this dataset at 3.220 kcal/mol of atoms. The value obtained for the uncorrected formation energy is -0.999 eV per atom. Its crystal system is tetragonal. As for the total magnetization: 1.719 Bohr magnetons per cell. The value obtained for the total energy is -2.6726 eV/atom.

# 3
Computed, not measured: an optimized crystal structure of SrLiI at the PBE level of DFT.

```
SrLiI
1.0
7.5764 0.0000 0.0000
0.0018 8.7336 0.0000
3.7514 4.3657 7.4443
Sr Li I
4 4 4
Direct
0.0306 0.0182 0.2131
0.0315 0.5192 0.2119
0.9685 0.4808 0.7881
0.9694 0.9818 0.7869
0.4408 0.4307 0.8836
0.4413 0.9359 0.8826
0.5587 0.0641 0.1174
0.5592 0.5693 0.1164
0.2650 0.3865 0.4776
0.2647 0.8856 0.4783
0.7353 0.1144 0.5217
0.7350 0.6135 0.5224
```

The calculation puts the energy above the most stable polymorph in this dataset at 0.000 kcal/mol of atoms. The value obtained for the uncorrected formation energy is -0.695 eV per atom. Its crystal system is triclinic. As for the total magnetization: 0.000 Bohr magnetons per cell. The value obtained for the total energy is -2.4102 eV/atom.

# 4
Computed, not measured: an optimized crystal structure of Sr2Li3I7 at the PBE level of DFT.

```
Sr2Li3I7
1.0
14.6123 -4.0406 0.0000
14.6123 4.0406 0.0000
0.0000 0.0000 8.0060
Sr Li I
4 6 14
Direct
0.1370 0.6521 0.5000
0.3479 0.8630 0.5000
0.6521 0.1370 0.0000
0.8630 0.3479 0.0000
0.0903 0.4834 0.9816
0.2202 0.7798 0.0058
0.4834 0.0903 0.4816
0.5166 0.9097 0.9816
0.7798 0.2202 0.5058
0.9097 0.5166 0.4816
0.0410 0.2539 0.6514
0.1073 0.8927 0.3619
0.1629 0.4173 0.6202
0.2539 0.0410 0.1514
0.3298 0.5300 0.8498
0.4173 0.1629 0.1202
0.4700 0.6702 0.8498
0.5300 0.3298 0.3498
0.5827 0.8371 0.6202
0.6702 0.4700 0.3498
0.7461 0.9590 0.6514
0.8371 0.5827 0.1202
0.8927 0.1073 0.8619
0.9590 0.7461 0.1514
```

The value obtained for the uncorrected formation energy is -1.406 eV per atom. Its crystal system is orthorhombic. As for the total magnetization: 0.000 Bohr magnetons per cell. The value obtained for the total energy is -3.0688 eV/atom.

# 5
Computed, not measured: an optimized crystal structure of Sr2Li2I at the PBE level of DFT.

```
Sr2Li2I
1.0
-2.0491 2.0491 10.4683
2.0491 -2.0491 10.4683
2.0491 2.0491 -10.4683
Sr Li I
2 2 1
Direct
0.1123 0.1123 0.0000
0.8877 0.8877 0.0000
0.2500 0.7500 0.5000
0.7500 0.2500 0.5000
0.5000 0.5000 0.0000
```

The calculation puts the energy above the most stable polymorph in this dataset at 0.000 kcal/mol of atoms. The value obtained for the uncorrected formation energy is -0.354 eV per atom. Its crystal system is tetragonal. As for the total magnetization: 0.000 Bohr magnetons per cell. The value obtained for the total energy is -2.1021 eV/atom.

# 6
Computed, not measured: an optimized crystal structure of SrLiI2 at the PBE level of DFT.

```
SrLiI2
1.0
2.1307 1.2302 8.6170
-2.1307 1.2302 8.6170
0.0000 -2.4603 8.6170
Sr Li I
1 1 2
Direct
0.0000 0.0000 0.0000
0.5000 0.5000 0.5000
0.2338 0.2338 0.2338
0.7662 0.7662 0.7662
```

The calculation puts the energy above the most stable polymorph in this dataset at 0.927 kcal/mol of atoms. The value obtained for the uncorrected formation energy is -1.098 eV per atom. Its crystal system is trigonal. As for the total magnetization: 0.728 Bohr magnetons per cell. The value obtained for the total energy is -2.7721 eV/atom.

# 7
Computed, not measured: an optimized crystal structure of SrLiI at the PBE level of DFT.

```
SrLiI
1.0
4.9830 0.0000 0.0000
-2.4915 4.3154 0.0000
0.0000 0.0000 4.4548
Sr Li I
1 1 1
Direct
0.0000 0.0000 0.0000
0.6667 0.3333 0.5000
0.3333 0.6667 0.5000
```

The calculation puts the energy above the most stable polymorph in this dataset at 2.788 kcal/mol of atoms. The value obtained for the uncorrected formation energy is -0.574 eV per atom. Its crystal system is hexagonal. As for the total magnetization: 0.000 Bohr magnetons per cell. The value obtained for the total energy is -2.2893 eV/atom.

# 8
Computed, not measured: an optimized crystal structure of SrLi6I8 at the PBE level of DFT.

```
SrLi6I8
1.0
11.7288 0.0000 0.0000
-5.8644 10.1575 0.0000
0.0000 0.0000 5.0113
Sr Li I
1 6 8
Direct
0.0000 0.0000 0.0000
0.1826 0.7806 0.7435
0.2194 0.4020 0.7435
0.4020 0.1826 0.2565
0.5980 0.8174 0.7435
0.7806 0.5980 0.2565
0.8174 0.2194 0.2565
0.0521 0.7553 0.2432
0.2447 0.2967 0.2432
0.2967 0.0521 0.7568
0.3333 0.6667 0.7383
0.6667 0.3333 0.2617
0.7033 0.9479 0.2432
0.7553 0.7033 0.7568
0.9479 0.2447 0.7568
```

The value obtained for the uncorrected formation energy is -1.231 eV per atom. Its crystal system is trigonal. As for the total magnetization: 0.000 Bohr magnetons per cell. The value obtained for the total energy is -2.9355 eV/atom.

# 9
Computed, not measured: an optimized crystal structure of SrLiI2 at the PBE level of DFT.

```
SrLiI2
1.0
0.0000 4.0564 4.0564
4.0564 0.0000 4.0564
4.0564 4.0564 0.0000
Sr Li I
1 1 2
Direct
0.0000 0.0000 0.0000
0.5000 0.5000 0.5000
0.2500 0.2500 0.2500
0.7500 0.7500 0.7500
```

The calculation puts the energy above the most stable polymorph in this dataset at 4.016 kcal/mol of atoms. The value obtained for the uncorrected formation energy is -0.964 eV per atom. Its crystal system is cubic. As for the total magnetization: 0.000 Bohr magnetons per cell. The value obtained for the total energy is -2.6381 eV/atom.

# 10
Computed, not measured: an optimized crystal structure of Sr3Li2I8 at the PBE level of DFT.

```
Sr3Li2I8
1.0
7.7344 -4.7971 0.0000
7.7344 4.7971 0.0000
-2.9376 0.0000 7.7046
Sr Li I
3 2 8
Direct
0.0000 0.0000 0.0000
0.2616 0.7384 0.5000
0.7384 0.2616 0.5000
0.3394 0.3394 0.8851
0.6606 0.6606 0.1149
0.1234 0.6257 0.7488
0.1263 0.1263 0.7442
0.3713 0.3713 0.2416
0.3743 0.8766 0.2512
0.6257 0.1234 0.7488
0.6287 0.6287 0.7584
0.8737 0.8737 0.2558
0.8766 0.3743 0.2512
```

The value obtained for the uncorrected formation energy is -1.527 eV per atom. Its crystal system is monoclinic. As for the total magnetization: 0.000 Bohr magnetons per cell. The value obtained for the total energy is -3.1633 eV/atom.

# 11
Computed, not measured: an optimized crystal structure of Sr2Li2I at the PBE level of DFT.

```
Sr2Li2I
1.0
9.2818 0.0000 0.0000
0.0000 9.2818 0.0000
0.0000 0.0000 4.6668
Sr Li I
4 4 2
Direct
0.1791 0.3209 0.0000
0.3209 0.8209 0.0000
0.6791 0.1791 0.0000
0.8209 0.6791 0.0000
0.1087 0.6087 0.5000
0.3913 0.1087 0.5000
0.6087 0.8913 0.5000
0.8913 0.3913 0.5000
0.0000 0.0000 0.0000
0.5000 0.5000 0.0000
```

The calculation puts the energy above the most stable polymorph in this dataset at 1.309 kcal/mol of atoms. The value obtained for the uncorrected formation energy is -0.297 eV per atom. Its crystal system is tetragonal. As for the total magnetization: 0.000 Bohr magnetons per cell. The value obtained for the total energy is -2.0454 eV/atom.

# 12
Computed, not measured: an optimized crystal structure of Sr2Li2I at the PBE level of DFT.

```
Sr2Li2I
1.0
8.8765 0.0000 0.0000
0.0000 8.8765 0.0000
0.0000 0.0000 4.5826
Sr Li I
4 4 2
Direct
0.1716 0.3284 0.0000
0.3284 0.8284 0.0000
0.6716 0.1716 0.0000
0.8284 0.6716 0.0000
0.1197 0.6197 0.5000
0.3803 0.1197 0.5000
0.6197 0.8803 0.5000
0.8803 0.3803 0.5000
0.0000 0.0000 0.5000
0.5000 0.5000 0.5000
```

The calculation puts the energy above the most stable polymorph in this dataset at 1.816 kcal/mol of atoms. The value obtained for the uncorrected formation energy is -0.275 eV per atom. Its crystal system is tetragonal. As for the total magnetization: 0.000 Bohr magnetons per cell. The value obtained for the total energy is -2.0234 eV/atom.

Number 1: D(E_F) 10.6 states/eV/cell. Number 2: D(E_F) 6.8 states/eV/cell. Number 3: D(E_F) 4.5 states/eV/cell. Number 4: D(E_F) 0.0 states/eV/cell. Number 5: D(E_F) 4.1 states/eV/cell. Number 6: D(E_F) 0.9 states/eV/cell. Number 7: D(E_F) 1.0 states/eV/cell. Number 8: D(E_F) 0.0 states/eV/cell. Number 9: D(E_F) 2.9 states/eV/cell. Number 10: D(E_F) 0.0 states/eV/cell. Number 11: D(E_F) 12.6 states/eV/cell. Number 12: D(E_F) 11.7 states/eV/cell.